<one>
VASP calculation (PBE-GGA) on a relaxed structure of RbVZn.

Calculated values
**Density**: 3.3 g/cm3
**V**: 34.1 Å³/atom

extended XYZ file:
```
6
Lattice="-1.5833 3.4701 -2.5156 -1.9323 -0.9721 4.0247 7.2149 7.0348 5.1631" Properties=species:S:1:pos:R:3 pbc="T T T"
Zn -0.0122 2.2673 3.1354
Zn 3.7115 7.2655 3.5368
Rb 3.6074 3.5174 2.5815
Rb 0.0000 0.0000 0.0000
V 0.1041 3.7481 0.9553
V 3.5952 5.7847 5.7169
```


<two>
VASP calculation (PBE-GGA) on a relaxed structure of RbVZn.

Calculated values
**Density**: 4.3 g/cm3
**V**: 26.0 Å³/atom

extended XYZ file:
```
12
Lattice="13.1851 0.0000 0.0000 0.0000 4.7358 0.0000 0.0000 0.0000 4.9931" Properties=species:S:1:pos:R:3 pbc="T T T"
V 6.5929 3.5519 4.9820
V 6.5922 1.1840 0.0112
V 13.1847 1.1840 2.4854
V 0.0003 3.5519 2.5077
Zn 0.0000 2.3679 0.0000
Zn 6.5925 2.3679 2.4966
Zn 6.5925 0.0000 2.4966
Zn 0.0000 0.0000 0.0000
Rb 3.3322 1.1840 3.6341
Rb 9.9248 1.1840 3.8556
Rb 3.2603 3.5519 1.1375
Rb 9.8528 3.5519 1.3590
```


The relative energies come out as <one> 0.304; <two> 0.000, with values in eV/atom.


<one>
VASP calculation (PBE-GGA) on a relaxed structure of RbVZn.

Calculated values
**Density**: 4.1 g/cm3
**V**: 27.1 Å³/atom

extended XYZ file:
```
6
Lattice="-4.2571 -0.0034 3.3987 4.9838 -1.1472 1.8760 0.9595 6.1438 1.2079" Properties=species:S:1:pos:R:3 pbc="T T T"
Zn 1.9041 -0.7624 2.3843
Zn -0.6965 2.6908 3.4958
V 2.3828 2.3029 2.9869
V -0.2178 5.7561 4.0984
Rb 0.7195 4.6074 0.9058
Rb 0.2398 1.5355 0.3019
```


<two>
VASP calculation (PBE-GGA) on a relaxed structure of RbVZn.

Calculated values
**Density**: 2.1 g/cm3
**V**: 52.7 Å³/atom

extended XYZ file:
```
6
Lattice="5.1140 -2.9526 0.0000 0.0000 5.9052 0.0000 0.0000 0.0000 10.4750" Properties=species:S:1:pos:R:3 pbc="T T T"
Rb 3.4093 0.0000 7.8563
Rb 1.7047 2.9526 2.6188
V 0.0000 0.0000 5.2375
V 0.0000 0.0000 0.0000
Zn 0.0000 0.0000 7.8563
Zn 0.0000 0.0000 2.6188
```


<three>
VASP calculation (PBE-GGA) on a relaxed structure of RbVZn.

Calculated values
**Density**: 3.4 g/cm3
**V**: 32.5 Å³/atom

extended XYZ file:
```
6
Lattice="-1.6536 0.5280 5.0560 -3.5724 -0.5903 -3.9327 0.2890 -7.8165 0.9107" Properties=species:S:1:pos:R:3 pbc="T T T"
V 0.1110 -3.0029 0.3499
V 0.1780 -4.8135 0.5608
Zn -2.8358 -2.8392 -0.6310
Zn -2.7407 -5.4123 -0.3312
Rb -2.1487 -3.7530 2.5151
Rb -2.2932 0.1552 2.0598
```


<four>
VASP calculation (PBE-GGA) on a relaxed structure of RbVZn.

Calculated values
**Density**: 3.6 g/cm3
**V**: 31.0 Å³/atom

extended XYZ file:
```
6
Lattice="4.1862 -0.1399 -0.2688 0.6514 12.0290 0.2667 2.3952 -0.2264 3.5264" Properties=species:S:1:pos:R:3 pbc="T T T"
V 1.6921 11.9156 0.9995
V 4.0099 11.7724 1.9989
Zn 5.5326 0.8916 2.9136
Zn 6.0996 10.4019 3.0759
Rb 1.6003 8.1223 0.8188
Rb 3.4497 3.5361 1.9151
```


The relative energies come out as <one> 0.702; <two> 0.943; <three> 0.527; <four> 0.000, with values in eV/atom.


<one>
VASP calculation (PBE-GGA) on a relaxed structure of RbVZn3.

Calculated values
**Density**: 4.0 g/cm3
**V**: 28.0 Å³/atom

extended XYZ file:
```
5
Lattice="-4.9172 1.5310 -0.6392 -1.5757 -3.6835 3.2985 0.5194 3.3195 3.9551" Properties=species:S:1:pos:R:3 pbc="T T T"
Zn 0.2597 1.6597 1.9775
Zn -2.4586 0.7655 -0.3196
Zn -0.7878 -1.8418 1.6493
Rb -2.9867 0.5835 3.3072
V 0.0000 0.0000 0.0000
```


<two>
VASP calculation (PBE-GGA) on a relaxed structure of RbVZn3.

Calculated values
**Density**: 2.4 g/cm3
**V**: 45.3 Å³/atom

extended XYZ file:
```
5
Lattice="6.0973 0.0000 0.0000 0.0000 6.0973 0.0000 0.0000 0.0000 6.0973" Properties=species:S:1:pos:R:3 pbc="T T T"
Rb 0.0000 0.0000 0.0000
Zn 0.0000 3.0487 0.0000
Zn 0.0000 0.0000 3.0487
Zn 3.0487 0.0000 0.0000
V 3.0487 3.0487 3.0487
```


The relative energies come out as <one> 0.000; <two> 1.067, with values in eV/atom.


<one>
VASP calculation (PBE-GGA) on a relaxed structure of Rb2Zr2V.

Calculated values
**Density**: 4.0 g/cm3
**V**: 33.3 Å³/atom

extended XYZ file:
```
10
Lattice="6.8250 0.0000 0.0000 0.0000 6.8250 0.0000 0.0000 0.0000 7.1485" Properties=species:S:1:pos:R:3 pbc="T T T"
Rb 4.7053 5.5322 3.5742
Rb 1.2928 4.7053 3.5742
Rb 5.5322 2.1197 3.5742
Rb 2.1197 1.2928 3.5742
Zr 5.5424 4.6950 0.0000
Zr 1.2825 2.1300 0.0000
Zr 2.1300 5.5424 0.0000
Zr 4.6950 1.2825 0.0000
V 3.4125 3.4125 0.0000
V 0.0000 0.0000 0.0000
```


<two>
VASP calculation (PBE-GGA) on a relaxed structure of Rb2Zr2V.

Calculated values
**Density**: 4.3 g/cm3
**V**: 31.1 Å³/atom

extended XYZ file:
```
5
Lattice="4.1676 0.0000 0.0000 0.0000 4.1676 0.0000 2.0838 2.0838 8.9525" Properties=species:S:1:pos:R:3 pbc="T T T"
Zr 2.0838 2.0838 1.2628
Zr 4.1676 4.1676 7.6897
Rb 2.0838 4.1676 4.4762
Rb 4.1676 2.0838 4.4762
V 0.0000 0.0000 0.0000
```


The relative energies come out as <one> 0.000; <two> 0.409, with values in eV/atom.